NpVSbO6: relaxed, PBE+U.

Cell: 5.369 5.369 9.411 Å, 90.00 90.00 120.00°
Atoms (fractional coordinates):
Np (0.000, 0.000, 0.000)
Np (0.000, 0.000, 0.500)
V (0.333, 0.667, 0.250)
V (0.667, 0.333, 0.750)
Sb (0.667, 0.333, 0.250)
Sb (0.333, 0.667, 0.750)
O (0.660, 0.685, 0.129)
O (0.025, 0.340, 0.129)
O (0.340, 0.025, 0.629)
O (0.975, 0.660, 0.871)
O (0.315, 0.340, 0.371)
O (0.025, 0.685, 0.371)
O (0.685, 0.025, 0.871)
O (0.660, 0.975, 0.371)
O (0.975, 0.315, 0.629)
O (0.315, 0.975, 0.129)
O (0.685, 0.660, 0.629)
O (0.340, 0.315, 0.871)

Calculated values
* mass density: 7.15 g/cm3
* VASP energy: -8.095 eV/atom
* total magnetization: 5.93 μB per cell